# KNa4Cl5 GGA-PBEsol optimized geometry
# Raw formation energy   -174.5 kJ per mole of atoms
# E_tot   -3.486 eV per atom
# Magnetic moment   0.0102 μB/atom
data_KNa4Cl5
_chemical_formula_sum 'K1 Na4 Cl5'
_cell_length_a 4.036
_cell_length_b 7.019
_cell_length_c 9.100
_cell_angle_alpha 75.19
_cell_angle_beta 77.19
_cell_angle_gamma 73.29
_symmetry_space_group_name_H-M 'P 1'
_symmetry_Int_Tables_number 1
loop_
_symmetry_equiv_pos_as_xyz
'x,y,z'
loop_
_atom_site_label
_atom_site_type_symbol
_atom_site_fract_x
_atom_site_fract_y
_atom_site_fract_z
Na1 Na 0.403 0.793 0.402
Na2 Na 0.799 0.610 0.792
Na3 Na 0.201 0.390 0.208
Na4 Na 0.597 0.207 0.598
Cl1 Cl 0.795 0.097 0.314
Cl2 Cl 0.205 0.903 0.686
Cl3 Cl 0.391 0.331 0.888
Cl4 Cl 0.609 0.669 0.112
Cl5 Cl 0.000 0.500 0.500
K1 K 0.000 0.000 0.000

***

# KNa4Cl5 GGA-PBEsol optimized geometry
# Raw formation energy   -175.1 kJ per mole of atoms
# E_tot   -3.491 eV per atom
# Magnetic moment   0.0000 μB/atom
data_KNa4Cl5
_chemical_formula_sum 'K1 Na4 Cl5'
_cell_length_a 4.044
_cell_length_b 4.044
_cell_length_c 16.714
_cell_angle_alpha 83.05
_cell_angle_beta 83.05
_cell_angle_gamma 60.00
_symmetry_space_group_name_H-M 'P 1'
_symmetry_Int_Tables_number 1
loop_
_symmetry_equiv_pos_as_xyz
'x,y,z'
loop_
_atom_site_label
_atom_site_type_symbol
_atom_site_fract_x
_atom_site_fract_y
_atom_site_fract_z
K1 K 0.000 0.000 0.000
Na1 Na 0.404 0.404 0.787
Na2 Na 0.801 0.801 0.596
Na3 Na 0.596 0.596 0.213
Na4 Na 0.199 0.199 0.404
Cl1 Cl 0.103 0.103 0.691
Cl2 Cl 0.706 0.706 0.882
Cl3 Cl 0.897 0.897 0.309
Cl4 Cl 0.500 0.500 0.500
Cl5 Cl 0.294 0.294 0.118

***

# KNaCl2 GGA-PBEsol optimized geometry
# Raw formation energy   -178.7 kJ per mole of atoms
# E_tot   -3.489 eV per atom
# Magnetic moment   0.0001 μB/atom
data_KNaCl2
_chemical_formula_sum 'K1 Na1 Cl2'
_cell_length_a 4.164
_cell_length_b 4.164
_cell_length_c 7.300
_cell_angle_alpha 73.43
_cell_angle_beta 73.43
_cell_angle_gamma 60.00
_symmetry_space_group_name_H-M 'P 1'
_symmetry_Int_Tables_number 1
loop_
_symmetry_equiv_pos_as_xyz
'x,y,z'
loop_
_atom_site_label
_atom_site_type_symbol
_atom_site_fract_x
_atom_site_fract_y
_atom_site_fract_z
Cl1 Cl 0.259 0.259 0.223
Cl2 Cl 0.741 0.741 0.777
Na1 Na 0.000 0.000 0.000
K1 K 0.500 0.500 0.500

***

# KNa4Cl5 GGA-PBEsol optimized geometry
# Raw formation energy   -174.2 kJ per mole of atoms
# E_tot   -3.483 eV per atom
# Magnetic moment   0.0001 μB/atom
data_KNa4Cl5
_chemical_formula_sum 'K1 Na4 Cl5'
_cell_length_a 4.013
_cell_length_b 5.804
_cell_length_c 10.772
_cell_angle_alpha 105.63
_cell_angle_beta 100.74
_cell_angle_gamma 90.00
_symmetry_space_group_name_H-M 'P 1'
_symmetry_Int_Tables_number 1
loop_
_symmetry_equiv_pos_as_xyz
'x,y,z'
loop_
_atom_site_label
_atom_site_type_symbol
_atom_site_fract_x
_atom_site_fract_y
_atom_site_fract_z
Na1 Na 0.397 0.397 0.794
Na2 Na 0.795 0.795 0.590
Na3 Na 0.205 0.205 0.410
Na4 Na 0.603 0.603 0.206
K1 K 0.000 0.000 0.000
Cl1 Cl 0.000 0.500 0.000
Cl2 Cl 0.801 0.301 0.602
Cl3 Cl 0.389 0.889 0.777
Cl4 Cl 0.611 0.111 0.223
Cl5 Cl 0.199 0.699 0.398

***

# KNa4Cl5 GGA-PBEsol optimized geometry
# Raw formation energy   -173.5 kJ per mole of atoms
# E_tot   -3.475 eV per atom
# Magnetic moment   0.0000 μB/atom
data_KNa4Cl5
_chemical_formula_sum 'K1 Na4 Cl5'
_cell_length_a 4.091
_cell_length_b 4.091
_cell_length_c 14.577
_cell_angle_alpha 98.07
_cell_angle_beta 98.07
_cell_angle_gamma 90.00
_symmetry_space_group_name_H-M 'P 1'
_symmetry_Int_Tables_number 1
loop_
_symmetry_equiv_pos_as_xyz
'x,y,z'
loop_
_atom_site_label
_atom_site_type_symbol
_atom_site_fract_x
_atom_site_fract_y
_atom_site_fract_z
Na1 Na 0.396 0.396 0.792
Na2 Na 0.604 0.604 0.208
Na3 Na 0.798 0.798 0.596
Na4 Na 0.202 0.202 0.404
Cl1 Cl 0.299 0.299 0.597
Cl2 Cl 0.894 0.894 0.788
Cl3 Cl 0.500 0.500 0.000
Cl4 Cl 0.106 0.106 0.212
Cl5 Cl 0.701 0.701 0.403
K1 K 0.000 0.000 0.000

***

# K2NaCl3 GGA-PBEsol optimized geometry
# Raw formation energy   -179.8 kJ per mole of atoms
# E_tot   -3.478 eV per atom
# Magnetic moment   0.0003 μB/atom
data_K2NaCl3
_chemical_formula_sum 'K2 Na1 Cl3'
_cell_length_a 4.303
_cell_length_b 4.303
_cell_length_c 9.510
_cell_angle_alpha 103.08
_cell_angle_beta 103.08
_cell_angle_gamma 90.00
_symmetry_space_group_name_H-M 'P 1'
_symmetry_Int_Tables_number 1
loop_
_symmetry_equiv_pos_as_xyz
'x,y,z'
loop_
_atom_site_label
_atom_site_type_symbol
_atom_site_fract_x
_atom_site_fract_y
_atom_site_fract_z
K1 K 0.666 0.666 0.333
K2 K 0.334 0.334 0.667
Cl1 Cl 0.500 0.500 0.000
Cl2 Cl 0.158 0.158 0.317
Cl3 Cl 0.842 0.842 0.683
Na1 Na 0.000 0.000 0.000

***

# K2NaCl3 GGA-PBEsol optimized geometry
# Raw formation energy   -181.1 kJ per mole of atoms
# E_tot   -3.492 eV per atom
# Magnetic moment   0.0002 μB/atom
data_K2NaCl3
_chemical_formula_sum 'K2 Na1 Cl3'
_cell_length_a 4.250
_cell_length_b 4.250
_cell_length_c 10.485
_cell_angle_alpha 90.00
_cell_angle_beta 90.00
_cell_angle_gamma 120.00
_symmetry_space_group_name_H-M 'P 1'
_symmetry_Int_Tables_number 1
loop_
_symmetry_equiv_pos_as_xyz
'x,y,z'
loop_
_atom_site_label
_atom_site_type_symbol
_atom_site_fract_x
_atom_site_fract_y
_atom_site_fract_z
Na1 Na 0.000 0.000 0.000
Cl1 Cl 0.667 0.333 0.856
Cl2 Cl 0.000 0.000 0.500
Cl3 Cl 0.333 0.667 0.144
K1 K 0.667 0.333 0.322
K2 K 0.333 0.667 0.678

***

# K3NaCl GGA-PBEsol optimized geometry
# Raw formation energy   -68.8 kJ per mole of atoms
# E_tot   -2.075 eV per atom
# Magnetic moment   0.0000 μB/atom
data_K3NaCl
_chemical_formula_sum 'K3 Na1 Cl1'
_cell_length_a 6.217
_cell_length_b 6.217
_cell_length_c 6.217
_cell_angle_alpha 90.00
_cell_angle_beta 90.00
_cell_angle_gamma 90.00
_symmetry_space_group_name_H-M 'P 1'
_symmetry_Int_Tables_number 1
loop_
_symmetry_equiv_pos_as_xyz
'x,y,z'
loop_
_atom_site_label
_atom_site_type_symbol
_atom_site_fract_x
_atom_site_fract_y
_atom_site_fract_z
Cl1 Cl 0.000 0.000 0.000
K1 K 0.500 0.000 0.000
K2 K 0.000 0.500 0.000
K3 K 0.000 0.000 0.500
Na1 Na 0.500 0.500 0.500

***

> E_tot of number 6 (K2NaCl3)?

-3.478 eV per atom